A relaxed TmZrNiHg crystal, computed with GGA-PBE.

Output
Crystal system: cubic
Total energy, eV per atom: -4.978
ΔH_f (0 K), eV/atom: -0.2019

Cell lengths 6.9086, 6.9086, 6.9086 Å; angles 90.00, 90.00, 90.00 degrees
Last column: nearest neighbours and their distance in Å.
Space group F-43m (No. 216)
Unique sites:
Tm1 0.0000 0.0000 0.0000 x4  4 Ni 2.99, 4 Hg 2.99
Zr1 0.0000 0.0000 0.5000 x4  4 Hg 2.99, 4 Ni 2.99
Ni1 0.2500 0.2500 0.7500 x4  4 Zr 2.99, 4 Tm 2.99
Hg1 0.2500 0.2500 0.2500 x4  4 Tm 2.99, 4 Zr 2.99

A relaxed VNiHg crystal, computed with GGA-PBE.

Output
Crystal system: monoclinic
Distance to the lowest polymorph of the same formula, eV per atom: 0.012
Total energy, eV per atom: -4.892
ΔH_f (0 K), eV/atom: 0.1751

Cell lengths 9.6644, 3.1571, 6.4690 Å; angles 90.00, 110.45, 90.00 degrees
Last column: nearest neighbours and their distance in Å.
Space group C2/m (No. 12)
Unique sites:
V1 0.0027 0.0000 0.3297 x4  1 V 2.22, 2 Ni 2.43
Ni1 0.1766 0.5000 0.5709 x4  4 V 2.43-2.59, 2 Ni 2.50, 2 Hg 2.70
Hg1 0.1576 0.5000 0.0961 x4  3 Ni 2.70-3.01, 3 Hg 2.86-2.96, 2 V 2.93